## CdCoO3 (PBE with a Hubbard U)

Data for a geometry-optimized CdCoO3 structure.

Cell and atoms, written as POSCAR:
```
CdCoO3
1.0
4.038 0.000 0.000
0.000 4.038 0.000
0.000 0.000 4.038
Co O Cd
1 3 1
Direct
0.500 0.500 0.500 Co
0.000 0.500 0.000 O
0.000 0.000 0.500 O
0.500 0.000 0.000 O
0.000 0.000 0.000 Cd
```

Results
Size of the total moment (μB per atom): 0.65
E_tot (hartree per atom): -0.140

## CdCo4O8 (PBE with a Hubbard U)

Data for a geometry-optimized CdCo4O8 structure.

Cell and atoms, written as POSCAR:
```
CdCo4O8
1.0
-3.806 4.047 1.027
0.390 -4.453 3.455
6.081 1.469 1.207
Cd Co O
1 4 8
Direct
0.000 0.500 0.500 Cd
0.000 0.000 0.000 Co
0.000 0.500 0.000 Co
0.500 0.500 0.000 Co
0.500 0.000 0.000 Co
0.445 0.722 0.167 O
0.555 0.278 0.833 O
0.459 0.230 0.181 O
0.049 0.278 0.819 O
0.541 0.770 0.819 O
0.049 0.770 0.819 O
0.951 0.230 0.181 O
0.951 0.722 0.181 O
```

Results
Size of the total moment (μB per atom): 0.15
E_tot (hartree per atom): -0.204

## Cd2Co3O8 (PBE with a Hubbard U)

Data for a geometry-optimized Cd2Co3O8 structure.

Cell and atoms, written as POSCAR:
```
Cd2Co3O8
1.0
4.675 0.039 -1.577
-1.008 4.922 -2.867
0.152 0.217 6.154
Cd Co O
2 3 8
Direct
0.331 0.280 0.560 Cd
0.669 0.720 0.440 Cd
0.500 0.000 0.000 Co
0.000 0.256 0.000 Co
0.000 0.744 0.000 Co
0.963 0.604 0.208 O
0.037 0.396 0.792 O
0.906 0.097 0.194 O
0.094 0.903 0.806 O
0.614 0.681 0.801 O
0.614 0.120 0.801 O
0.386 0.880 0.199 O
0.386 0.319 0.199 O
```

Results
Size of the total moment (μB per atom): 0.23
E_tot (hartree per atom): -0.192

## Cd2CoO (PBE with a Hubbard U)

Data for a geometry-optimized Cd2CoO structure.

Cell and atoms, written as POSCAR:
```
Cd2CoO
1.0
9.381 0.000 0.000
0.000 9.381 0.000
4.690 4.690 1.821
Co O Cd
2 2 4
Direct
0.000 0.000 0.000 Co
0.750 0.250 0.500 Co
0.500 0.500 0.000 O
0.250 0.750 0.500 O
0.505 0.125 0.250 Cd
0.245 0.625 0.250 Cd
0.375 0.495 0.750 Cd
0.875 0.755 0.750 Cd
```

Results
Size of the total moment (μB per atom): 0.66
E_tot (hartree per atom): -0.113

## CdCoO3 (PBE with a Hubbard U)

Data for a geometry-optimized CdCoO3 structure.

Cell and atoms, written as POSCAR:
```
CdCoO3
1.0
5.809 -0.004 -0.003
3.578 4.576 -0.003
3.578 1.743 4.231
Cd Co O
2 2 6
Direct
0.632 0.632 0.632 Cd
0.368 0.368 0.368 Cd
0.837 0.837 0.837 Co
0.163 0.163 0.163 Co
0.559 0.969 0.183 O
0.817 0.441 0.031 O
0.031 0.817 0.441 O
0.969 0.183 0.559 O
0.183 0.559 0.969 O
0.441 0.031 0.817 O
```

Results
Size of the total moment (μB per atom): 0.20
E_tot (hartree per atom): -0.183

## Cd6Co5O15 (PBE with a Hubbard U)

Data for a geometry-optimized Cd6Co5O15 structure.

Cell and atoms, written as POSCAR:
```
Cd6Co5O15
1.0
6.775 0.010 -0.002
0.324 6.788 -0.008
0.312 0.292 6.761
Cd Co O
6 5 15
Direct
0.155 0.819 0.492 Cd
0.496 0.159 0.821 Cd
0.820 0.493 0.156 Cd
0.310 0.671 0.990 Cd
0.991 0.315 0.672 Cd
0.678 0.990 0.311 Cd
0.503 0.504 0.505 Co
0.108 0.100 0.101 Co
0.898 0.899 0.899 Co
0.307 0.307 0.306 Co
0.701 0.702 0.702 Co
0.025 0.834 0.141 O
0.137 0.028 0.837 O
0.836 0.139 0.029 O
0.314 0.581 0.314 O
0.423 0.711 0.680 O
0.313 0.313 0.581 O
0.709 0.679 0.425 O
0.581 0.313 0.314 O
0.680 0.426 0.712 O
0.738 0.977 0.674 O
0.030 0.276 0.316 O
0.278 0.320 0.029 O
0.673 0.740 0.978 O
0.317 0.030 0.275 O
0.977 0.674 0.738 O
```

Results
Size of the total moment (μB per atom): 0.12
E_tot (hartree per atom): -0.179

## CdCo2O4 (PBE with a Hubbard U)

Data for a geometry-optimized CdCo2O4 structure.

Cell and atoms, written as POSCAR:
```
CdCo2O4
1.0
4.960 -0.036 -0.035
0.031 5.693 0.032
-0.062 0.236 10.978
Cd Co O
4 8 16
Direct
0.953 0.255 0.252 Cd
0.636 0.249 0.750 Cd
0.364 0.751 0.250 Cd
0.047 0.745 0.748 Cd
0.995 0.749 0.006 Co
0.005 0.250 0.994 Co
0.996 0.751 0.494 Co
0.004 0.250 0.506 Co
0.500 0.000 0.000 Co
0.500 0.000 0.500 Co
0.500 0.500 0.000 Co
0.500 0.500 0.500 Co
0.831 0.006 0.904 O
0.835 0.996 0.595 O
0.835 0.495 0.595 O
0.850 0.502 0.898 O
0.660 0.745 0.091 O
0.655 0.755 0.408 O
0.680 0.242 0.087 O
0.674 0.254 0.413 O
0.326 0.746 0.587 O
0.320 0.757 0.913 O
0.345 0.245 0.592 O
0.340 0.255 0.909 O
0.169 0.994 0.096 O
0.165 0.005 0.405 O
0.150 0.497 0.102 O
0.165 0.506 0.405 O
```

Results
Size of the total moment (μB per atom): 0.07
Polymorph energy (0 for the lowest one) (kJ/mol of formula units): 16

## CdCoO3 (PBE with a Hubbard U)

Data for a geometry-optimized CdCoO3 structure.

Cell and atoms, written as POSCAR:
```
CdCoO3
1.0
5.392 0.000 0.000
0.000 5.438 0.000
0.000 0.000 7.579
Cd Co O
4 4 12
Direct
0.535 0.994 0.250 Cd
0.035 0.506 0.250 Cd
0.965 0.494 0.750 Cd
0.465 0.006 0.750 Cd
0.000 0.000 0.000 Co
0.000 0.000 0.500 Co
0.500 0.500 0.000 Co
0.500 0.500 0.500 Co
0.053 0.901 0.750 O
0.262 0.816 0.445 O
0.262 0.816 0.055 O
0.762 0.684 0.055 O
0.762 0.684 0.445 O
0.553 0.599 0.750 O
0.447 0.401 0.250 O
0.238 0.316 0.555 O
0.238 0.316 0.945 O
0.738 0.184 0.945 O
0.738 0.184 0.555 O
0.947 0.099 0.250 O
```

Results
Size of the total moment (μB per atom): 0.60
E_tot (hartree per atom): -0.181

## CdCo2O4 (PBE with a Hubbard U)

Data for a geometry-optimized CdCo2O4 structure.

Cell and atoms, written as POSCAR:
```
CdCo2O4
1.0
5.978 0.000 0.000
2.989 5.177 0.000
2.989 1.726 4.881
Cd Co O
2 4 8
Direct
0.750 0.750 0.750 Cd
0.500 0.500 0.500 Cd
0.125 0.625 0.125 Co
0.625 0.125 0.125 Co
0.125 0.125 0.125 Co
0.125 0.125 0.625 Co
0.896 0.896 0.896 O
0.354 0.354 0.939 O
0.311 0.896 0.896 O
0.896 0.311 0.896 O
0.354 0.354 0.354 O
0.896 0.896 0.311 O
0.939 0.354 0.354 O
0.354 0.939 0.354 O
```

Results
Size of the total moment (μB per atom): 0.00
Polymorph energy (0 for the lowest one) (kJ/mol of formula units): 0

## Cd2CoOsO6 (PBE with a Hubbard U)

Data for a geometry-optimized Cd2CoOsO6 structure.

Cell and atoms, written as POSCAR:
```
Cd2CoOsO6
1.0
-2.078 -4.898 -0.692
4.175 -2.162 2.768
-3.949 0.730 6.528
Cd Co Os O
4 2 2 12
Direct
0.012 0.954 0.250 Cd
0.512 0.546 0.750 Cd
0.988 0.046 0.750 Cd
0.488 0.454 0.250 Cd
0.500 0.000 0.000 Co
0.000 0.500 0.500 Co
0.500 0.000 0.500 Os
0.000 0.500 0.000 Os
0.296 0.704 0.051 O
0.796 0.796 0.551 O
0.704 0.296 0.949 O
0.204 0.204 0.449 O
0.299 0.706 0.446 O
0.799 0.794 0.946 O
0.701 0.294 0.554 O
0.201 0.206 0.054 O
0.899 0.533 0.249 O
0.399 0.967 0.749 O
0.101 0.467 0.751 O
0.601 0.033 0.251 O
```

Results
Size of the total moment (μB per atom): 0.30
E_tot (hartree per atom): -0.209

## CdCo3P8O24 (PBE with a Hubbard U)

Data for a geometry-optimized CdCo3P8O24 structure.

Cell and atoms, written as POSCAR:
```
CdCo3P8O24
1.0
7.398 0.009 -0.003
2.471 6.973 -0.003
3.873 2.740 8.887
Cd Co P O
1 3 8 24
Direct
0.553 0.447 0.000 Cd
0.009 0.499 0.748 Co
0.501 0.991 0.252 Co
0.451 0.549 0.500 Co
0.179 0.193 0.064 P
0.807 0.821 0.936 P
0.805 0.797 0.454 P
0.203 0.195 0.546 P
0.218 0.756 0.232 P
0.244 0.782 0.768 P
0.768 0.233 0.285 P
0.767 0.232 0.715 P
0.319 0.585 0.170 O
0.415 0.681 0.830 O
0.654 0.406 0.345 O
0.594 0.346 0.655 O
0.368 0.202 0.084 O
0.798 0.632 0.916 O
0.621 0.779 0.430 O
0.221 0.379 0.570 O
0.990 0.734 0.319 O
0.266 0.010 0.681 O
0.996 0.259 0.201 O
0.741 0.004 0.799 O
0.186 0.960 0.098 O
0.040 0.814 0.902 O
0.793 0.031 0.423 O
0.969 0.207 0.577 O
0.309 0.788 0.333 O
0.212 0.691 0.667 O
0.697 0.188 0.180 O
0.812 0.303 0.820 O
0.141 0.306 0.916 O
0.694 0.859 0.084 O
0.846 0.686 0.601 O
0.314 0.154 0.399 O
```

Results
Size of the total moment (μB per atom): 0.25
E_tot (hartree per atom): -0.254

## CdCoP2O (PBE with a Hubbard U)

Data for a geometry-optimized CdCoP2O structure.

Cell and atoms, written as POSCAR:
```
CdCoP2O
1.0
-3.394 0.513 -3.670
-3.705 -0.552 3.349
-0.049 4.003 0.606
P Co O Cd
2 1 1 1
Direct
0.000 0.500 0.000 P
0.500 0.000 0.000 P
0.500 0.500 0.500 Co
0.000 0.000 0.500 O
0.000 0.000 0.000 Cd
```

Results
Size of the total moment (μB per atom): 0.76
Polymorph energy (0 for the lowest one) (kJ/mol of formula units): 457

## Cd2CoPO (PBE with a Hubbard U)

Data for a geometry-optimized Cd2CoPO structure.

Cell and atoms, written as POSCAR:
```
Cd2CoPO
1.0
4.881 0.000 0.000
0.000 3.701 0.000
0.000 0.000 4.881
P Co O Cd
1 1 1 2
Direct
0.500 0.500 0.500 P
0.000 0.500 0.000 Co
0.000 0.000 0.000 O
0.000 0.000 0.500 Cd
0.500 0.000 0.000 Cd
```

Results
Size of the total moment (μB per atom): 0.41
Polymorph energy (0 for the lowest one) (kJ/mol of formula units): 0

## CdCoP2O (PBE with a Hubbard U)

Data for a geometry-optimized CdCoP2O structure.

Cell and atoms, written as POSCAR:
```
CdCoP2O
1.0
-0.278 1.113 -4.634
-4.498 -1.595 -0.113
-1.137 3.148 0.824
P Co O Cd
2 1 1 1
Direct
0.000 0.500 0.000 P
0.500 0.000 0.000 P
0.000 0.000 0.000 Co
0.000 0.000 0.500 O
0.500 0.500 0.500 Cd
```

Results
Size of the total moment (μB per atom): 0.37
Polymorph energy (0 for the lowest one) (kJ/mol of formula units): 0

## Cd2CoPO (PBE with a Hubbard U)

Data for a geometry-optimized Cd2CoPO structure.

Cell and atoms, written as POSCAR:
```
Cd2CoPO
1.0
5.352 0.000 0.000
0.000 3.391 0.000
0.000 0.000 5.352
P Co O Cd
1 1 1 2
Direct
0.000 0.000 0.000 P
0.500 0.500 0.500 Co
0.000 0.500 0.000 O
0.000 0.000 0.500 Cd
0.500 0.000 0.000 Cd
```

Results
Size of the total moment (μB per atom): 0.47
Polymorph energy (0 for the lowest one) (kJ/mol of formula units): 132

## PaCd2CoO8 (PBE with a Hubbard U)

Data for a geometry-optimized PaCd2CoO8 structure.

Cell and atoms, written as POSCAR:
```
PaCd2CoO8
1.0
6.042 0.000 0.000
-3.021 5.232 0.000
0.000 0.000 5.595
Pa Cd Co O
1 2 1 8
Direct
0.000 0.000 0.500 Pa
0.667 0.333 0.946 Cd
0.333 0.667 0.054 Cd
0.000 0.000 0.000 Co
0.859 0.717 0.789 O
0.283 0.141 0.789 O
0.859 0.141 0.789 O
0.141 0.283 0.211 O
0.717 0.859 0.211 O
0.141 0.859 0.211 O
0.667 0.333 0.331 O
0.333 0.667 0.669 O
```

Results
Size of the total moment (μB per atom): 0.34
E_tot (hartree per atom): -0.212

## Pa2CdCoO8 (PBE with a Hubbard U)

Data for a geometry-optimized Pa2CdCoO8 structure.

Cell and atoms, written as POSCAR:
```
Pa2CdCoO8
1.0
-0.108 0.869 5.106
-3.479 -3.172 -2.161
3.938 -4.951 0.926
Pa Cd Co O
2 1 1 8
Direct
0.667 0.333 0.147 Pa
0.333 0.667 0.853 Pa
0.000 0.000 0.500 Cd
0.000 0.000 0.000 Co
0.832 0.664 0.836 O
0.336 0.168 0.836 O
0.832 0.168 0.836 O
0.168 0.336 0.164 O
0.664 0.832 0.164 O
0.168 0.832 0.164 O
0.667 0.333 0.441 O
0.333 0.667 0.559 O
```

Results
Size of the total moment (μB per atom): 0.08
E_tot (hartree per atom): -0.275

## PaCdCoO5 (PBE with a Hubbard U)

Data for a geometry-optimized PaCdCoO5 structure.

Cell and atoms, written as POSCAR:
```
PaCdCoO5
1.0
-2.468 5.257 0.845
0.117 -3.015 5.034
7.712 1.833 -1.140
Pa Cd Co O
2 2 2 10
Direct
0.000 0.000 0.500 Pa
0.000 0.000 0.000 Pa
0.340 0.660 0.250 Cd
0.660 0.340 0.750 Cd
0.684 0.316 0.250 Co
0.316 0.684 0.750 Co
0.097 0.903 0.250 O
0.903 0.097 0.750 O
0.942 0.329 0.147 O
0.058 0.671 0.853 O
0.671 0.058 0.353 O
0.329 0.942 0.647 O
0.723 0.609 0.423 O
0.277 0.391 0.577 O
0.391 0.277 0.077 O
0.609 0.723 0.923 O
```

Results
Size of the total moment (μB per atom): 0.50
E_tot (hartree per atom): -0.260

## PaCdCo2O8 (PBE with a Hubbard U)

Data for a geometry-optimized PaCdCo2O8 structure.

Cell and atoms, written as POSCAR:
```
PaCdCo2O8
1.0
5.971 0.118 0.000
-2.543 5.403 0.000
-1.714 -2.761 5.010
Pa Cd Co O
1 1 2 8
Direct
0.000 0.000 0.000 Pa
0.250 0.750 0.500 Cd
0.750 0.250 0.500 Co
0.500 0.500 0.000 Co
0.379 0.074 0.305 O
0.314 0.487 0.173 O
0.314 0.141 0.827 O
0.769 0.074 0.695 O
0.859 0.686 0.173 O
0.926 0.231 0.305 O
0.926 0.621 0.695 O
0.513 0.686 0.827 O
```

Results
Size of the total moment (μB per atom): 0.58
E_tot (hartree per atom): -0.237